(one)
# TiNiPd PBE-GGA relaxed
# * N(E_F): 2.94 states/eV/f.u.
# * magnetic moment: 0.0 μB per cell
data_TiNiPd
_chemical_formula_sum 'Ti1 Ni1 Pd1'
_cell_length_a 4.2339
_cell_length_b 4.2339
_cell_length_c 2.7114
_cell_angle_alpha 90.00
_cell_angle_beta 90.00
_cell_angle_gamma 120.00
_space_group_name_H-M_alt 'P 3 m 1'
_space_group_IT_number 156
_space_group_name_Hall 'P 3 -2"'
loop_
_atom_site_label
_atom_site_type_symbol
_atom_site_fract_x
_atom_site_fract_y
_atom_site_fract_z
Ti1 Ti 0.0000 0.0000 0.0000
Ni1 Ni 0.6667 0.3333 0.2257
Pd1 Pd 0.3333 0.6667 0.6283

***

(two)
# TiNiPd PBE-GGA relaxed
# * N(E_F): 2.10 states/eV/f.u.
# * magnetic moment: 0.0 μB per cell
data_TiNiPd
_chemical_formula_sum 'Ti4 Ni4 Pd4'
_cell_length_a 8.990
_cell_length_b 3.016
_cell_length_c 6.683
_cell_angle_alpha 90.00
_cell_angle_beta 111.34
_cell_angle_gamma 90.00
_space_group_name_H-M_alt 'C 1 2/m 1'
_space_group_IT_number 12
_space_group_name_Hall '-C 2y'
loop_
_atom_site_label
_atom_site_type_symbol
_atom_site_fract_x
_atom_site_fract_y
_atom_site_fract_z
Ti1 Ti 0.011 0.000 0.239
Ni1 Ni 0.152 0.500 0.048
Pd1 Pd 0.168 0.500 0.610

***

(three)
# TiNiPd PBE-GGA relaxed
# * N(E_F): 2.53 states/eV/f.u.
# * magnetic moment: 0.0 μB per cell
data_TiNiPd
_chemical_formula_sum 'Ti4 Ni4 Pd4'
_cell_length_a 3.730
_cell_length_b 8.505
_cell_length_c 5.478
_cell_angle_alpha 90.00
_cell_angle_beta 90.00
_cell_angle_gamma 90.00
_space_group_name_H-M_alt 'C m c m'
_space_group_IT_number 63
_space_group_name_Hall '-C 2c 2'
loop_
_atom_site_label
_atom_site_type_symbol
_atom_site_fract_x
_atom_site_fract_y
_atom_site_fract_z
Ti1 Ti 0.000 0.000 0.000
Ni1 Ni 0.000 0.372 0.250
Pd1 Pd 0.000 0.326 0.750

***

Stability order, top to bottom: (two), (one), (three)

***

(one)
# Ti2NiPd2 PBE-GGA relaxed
# * N(E_F): 5.49 states/eV/f.u.
# * magnetic moment: 1.2 μB per cell
data_Ti2NiPd2
_chemical_formula_sum 'Ti4 Ni2 Pd4'
_cell_length_a 3.219
_cell_length_b 15.794
_cell_length_c 3.065
_cell_angle_alpha 90.00
_cell_angle_beta 90.00
_cell_angle_gamma 90.00
_space_group_name_H-M_alt 'C m m m'
_space_group_IT_number 65
_space_group_name_Hall '-C 2 2'
loop_
_atom_site_label
_atom_site_type_symbol
_atom_site_fract_x
_atom_site_fract_y
_atom_site_fract_z
Ti1 Ti 0.000 0.092 0.000
Ni1 Ni 0.000 0.500 0.500
Pd1 Pd 0.000 0.322 0.500

***

(two)
# Ti2NiPd2 PBE-GGA relaxed
# * N(E_F): 5.37 states/eV/f.u.
# * magnetic moment: 0.0 μB per cell
data_Ti2NiPd2
_chemical_formula_sum 'Ti4 Ni2 Pd4'
_cell_length_a 7.251
_cell_length_b 7.251
_cell_length_c 3.029
_cell_angle_alpha 90.00
_cell_angle_beta 90.00
_cell_angle_gamma 90.00
_space_group_name_H-M_alt 'P 4/m b m'
_space_group_IT_number 127
_space_group_name_Hall '-P 4 2ab'
loop_
_atom_site_label
_atom_site_type_symbol
_atom_site_fract_x
_atom_site_fract_y
_atom_site_fract_z
Ti1 Ti 0.164 0.336 0.000
Ni1 Ni 0.000 0.000 0.000
Pd1 Pd 0.136 0.636 0.500

***

Stability order, top to bottom: (one), (two)

***

(one)
# Ti2NiPd2 PBE-GGA relaxed
# * N(E_F): 4.71 states/eV/f.u.
# * magnetic moment: 0.0 μB per cell
data_Ti2NiPd2
_chemical_formula_sum 'Ti4 Ni2 Pd4'
_cell_length_a 7.130
_cell_length_b 7.130
_cell_length_c 3.086
_cell_angle_alpha 90.00
_cell_angle_beta 90.00
_cell_angle_gamma 90.00
_space_group_name_H-M_alt 'P 4/m b m'
_space_group_IT_number 127
_space_group_name_Hall '-P 4 2ab'
loop_
_atom_site_label
_atom_site_type_symbol
_atom_site_fract_x
_atom_site_fract_y
_atom_site_fract_z
Ti1 Ti 0.171 0.329 0.000
Ni1 Ni 0.000 0.000 0.500
Pd1 Pd 0.134 0.634 0.500

***

(two)
# Ti2NiPd2 PBE-GGA relaxed
# * N(E_F): 3.62 states/eV/f.u.
# * magnetic moment: 0.0 μB per cell
data_Ti2NiPd2
_chemical_formula_sum 'Ti8 Ni4 Pd8'
_cell_length_a 5.688
_cell_length_b 11.159
_cell_length_c 4.850
_cell_angle_alpha 90.00
_cell_angle_beta 90.00
_cell_angle_gamma 90.00
_space_group_name_H-M_alt 'I b a m'
_space_group_IT_number 72
_space_group_name_Hall '-I 2 2c'
loop_
_atom_site_label
_atom_site_type_symbol
_atom_site_fract_x
_atom_site_fract_y
_atom_site_fract_z
Ti1 Ti 0.183 0.168 0.000
Ni1 Ni 0.000 0.000 0.250
Pd1 Pd 0.147 0.394 0.000

***

Stability order, top to bottom: (two), (one)

***

(one)
# TiNi4Pd PBE-GGA relaxed
# * N(E_F): 8.21 states/eV/f.u.
# * magnetic moment: 3.3 μB per cell
data_TiNi4Pd
_chemical_formula_sum 'Ti4 Ni16 Pd4'
_cell_length_a 3.706
_cell_length_b 16.398
_cell_length_c 5.122
_cell_angle_alpha 90.00
_cell_angle_beta 90.00
_cell_angle_gamma 90.00
_space_group_name_H-M_alt 'C m c m'
_space_group_IT_number 63
_space_group_name_Hall '-C 2c 2'
loop_
_atom_site_label
_atom_site_type_symbol
_atom_site_fract_x
_atom_site_fract_y
_atom_site_fract_z
Ti1 Ti 0.000 0.230 0.250
Ni1 Ni 0.000 0.074 0.250
Ni2 Ni 0.000 0.349 0.523
Ni3 Ni 0.000 0.500 0.000
Pd1 Pd 0.000 0.088 0.750

***

(two)
# TiNi4Pd PBE-GGA relaxed
# * N(E_F): 8.13 states/eV/f.u.
# * magnetic moment: 3.5 μB per cell
data_TiNi4Pd
_chemical_formula_sum 'Ti4 Ni16 Pd4'
_cell_length_a 6.670
_cell_length_b 6.670
_cell_length_c 6.670
_cell_angle_alpha 90.00
_cell_angle_beta 90.00
_cell_angle_gamma 90.00
_space_group_name_H-M_alt 'F -4 3 m'
_space_group_IT_number 216
_space_group_name_Hall 'F -4 2 3'
loop_
_atom_site_label
_atom_site_type_symbol
_atom_site_fract_x
_atom_site_fract_y
_atom_site_fract_z
Ti1 Ti 0.000 0.000 0.000
Ni1 Ni 0.125 0.125 0.375
Pd1 Pd 0.250 0.250 0.750

***

Stability order, top to bottom: (two), (one)

***

(one)
# Ti2Ni3Pd PBE-GGA relaxed
# * N(E_F): 5.36 states/eV/f.u.
# * magnetic moment: 0.0 μB per cell
data_Ti2Ni3Pd
_chemical_formula_sum 'Ti8 Ni12 Pd4'
_cell_length_a 12.236
_cell_length_b 4.334
_cell_length_c 7.123
_cell_angle_alpha 90.00
_cell_angle_beta 121.69
_cell_angle_gamma 90.00
_space_group_name_H-M_alt 'C 1 2/m 1'
_space_group_IT_number 12
_space_group_name_Hall '-C 2y'
loop_
_atom_site_label
_atom_site_type_symbol
_atom_site_fract_x
_atom_site_fract_y
_atom_site_fract_z
Ti1 Ti 0.021 0.000 0.209
Ti2 Ti 0.200 0.500 0.578
Ni1 Ni 0.040 0.500 0.700
Ni2 Ni 0.117 0.000 0.602
Ni3 Ni 0.209 0.000 0.014
Pd1 Pd 0.133 0.500 0.147

***

(two)
# Ti2Ni3Pd PBE-GGA relaxed
# * N(E_F): 5.90 states/eV/f.u.
# * magnetic moment: 0.0 μB per cell
data_Ti2Ni3Pd
_chemical_formula_sum 'Ti16 Ni24 Pd8'
_cell_length_a 8.169
_cell_length_b 8.169
_cell_length_c 10.063
_cell_angle_alpha 90.00
_cell_angle_beta 90.00
_cell_angle_gamma 90.00
_space_group_name_H-M_alt 'I 41/a m d'
_space_group_IT_number 141
loop_
_space_group_symop_operation_xyz
'x,y,z'
'-x,-y,-z'
'-y+1/4,x+3/4,z+1/4'
'y+1/4,-x+3/4,-z+1/4'
'-x+1/2,-y,z+1/2'
'x+1/2,y,-z+1/2'
'y+1/4,-x+1/4,z+3/4'
'-y+1/4,x+1/4,-z+3/4'
'x,-y,-z'
'-x,y,z'
'-y+1/4,-x+1/4,-z+3/4'
'y+1/4,x+1/4,z+3/4'
'-x+1/2,y,-z+1/2'
'x+1/2,-y,z+1/2'
'y+1/4,x+3/4,-z+1/4'
'-y+1/4,-x+3/4,z+1/4'
'x+1/2,y+1/2,z+1/2'
'-x+1/2,-y+1/2,-z+1/2'
'-y+3/4,x+1/4,z+3/4'
'y+3/4,-x+1/4,-z+3/4'
'-x,-y+1/2,z'
'x,y+1/2,-z'
'y+3/4,-x+3/4,z+1/4'
'-y+3/4,x+3/4,-z+1/4'
'x+1/2,-y+1/2,-z+1/2'
'-x+1/2,y+1/2,z+1/2'
'-y+3/4,-x+3/4,-z+1/4'
'y+3/4,x+3/4,z+1/4'
'-x,y+1/2,-z'
'x,-y+1/2,z'
'y+3/4,x+1/4,-z+3/4'
'-y+3/4,-x+1/4,z+3/4'
loop_
_atom_site_label
_atom_site_type_symbol
_atom_site_fract_x
_atom_site_fract_y
_atom_site_fract_z
Ti1 Ti 0.000 0.071 0.267
Ni1 Ni 0.000 0.000 0.500
Ni2 Ni 0.228 0.022 0.875
Pd1 Pd 0.000 0.250 0.023

***

Stability order, top to bottom: (one), (two)

***

(one)
# TiNi2Pd2 PBE-GGA relaxed
# * N(E_F): 6.69 states/eV/f.u.
# * magnetic moment: 0.0 μB per cell
data_TiNi2Pd2
_chemical_formula_sum 'Ti2 Ni4 Pd4'
_cell_length_a 7.031
_cell_length_b 7.031
_cell_length_c 2.879
_cell_angle_alpha 90.00
_cell_angle_beta 90.00
_cell_angle_gamma 90.00
_space_group_name_H-M_alt 'P 4/m b m'
_space_group_IT_number 127
_space_group_name_Hall '-P 4 2ab'
loop_
_atom_site_label
_atom_site_type_symbol
_atom_site_fract_x
_atom_site_fract_y
_atom_site_fract_z
Ti1 Ti 0.000 0.000 0.000
Ni1 Ni 0.157 0.343 0.500
Pd1 Pd 0.141 0.641 0.000

***

(two)
# TiNi2Pd2 PBE-GGA relaxed
# * N(E_F): 2.37 states/eV/f.u.
# * magnetic moment: 0.0 μB per cell
data_TiNi2Pd2
_chemical_formula_sum 'Ti2 Ni4 Pd4'
_cell_length_a 6.131
_cell_length_b 6.131
_cell_length_c 3.739
_cell_angle_alpha 90.00
_cell_angle_beta 90.00
_cell_angle_gamma 90.00
_space_group_name_H-M_alt 'P 4/m b m'
_space_group_IT_number 127
_space_group_name_Hall '-P 4 2ab'
loop_
_atom_site_label
_atom_site_type_symbol
_atom_site_fract_x
_atom_site_fract_y
_atom_site_fract_z
Ti1 Ti 0.000 0.000 0.000
Ni1 Ni 0.134 0.366 0.000
Pd1 Pd 0.165 0.665 0.500

***

Stability order, top to bottom: (two), (one)